Entry from Alexandria: a relaxed structure of ZrTe (PBE).

abc: 8.0664 8.0664 8.0664
angles: 90.00 90.00 90.00
Last column: nearest neighbours and their distance in Å.
Space group Pm-3n (No. 223)
Unique sites:
Zr 0.0000 0.2500 0.5000 [6 per cell]  4 Te 2.85
Te 0.0000 0.5000 0.2500 [6 per cell]  4 Zr 2.85

DFT total energy in hartree per atom: -0.2138
Total magnetization in μB/cell: 8.824
Formation energy from raw total energies in meV/atom: 26

Entry from Alexandria: a relaxed structure of HoCd2Pd5 (PBE).

abc: 4.2090 4.2090 15.8250
angles: 90.00 90.00 90.00
Last column: nearest neighbours and their distance in Å.
Space group I4/mmm (No. 139)
Unique sites:
Ho 0.0000 0.0000 0.0000 [2 per cell]  12 Pd 2.91-2.98
Cd 0.0000 0.0000 0.2520 [4 per cell]  8 Pd 2.84-2.89, 4 Cd 2.98
Pd 0.0000 0.0000 0.5000 [2 per cell]  8 Pd 2.91, 4 Ho 2.98
Pd 0.0000 0.5000 0.1272 [8 per cell]  4 Cd 2.84-2.89, 2 Ho 2.91, 6 Pd 2.91-2.98

DFT total energy in hartree per atom: -0.1713
Energy of formation from the pure elements in kJ/mol of formula units: -475
Total magnetization in μB/cell: 0.000